# Li12Mg2Zn, relaxed, DFT PBE
data_Li12Mg2Zn
_chemical_formula_sum 'Li24 Mg4 Zn2'
_symmetry_space_group_name_H-M 'P 4/n b m'
_symmetry_Int_Tables_number 125
_cell_length_a 5.589
_cell_length_b 5.589
_cell_length_c 19.570
_cell_angle_alpha 90.00
_cell_angle_beta 90.00
_cell_angle_gamma 90.00
loop_
_symmetry_equiv_pos_as_xyz
'x,y,z'
'-x,-y,-z'
'-y+1/2,x,z'
'y+1/2,-x,-z'
'-x+1/2,-y+1/2,z'
'x+1/2,y+1/2,-z'
'y,-x+1/2,z'
'-y,x+1/2,-z'
'x,-y+1/2,-z'
'-x,y+1/2,z'
'-y+1/2,-x+1/2,-z'
'y+1/2,x+1/2,z'
'-x+1/2,y,-z'
'x+1/2,-y,z'
'y,x,-z'
'-y,-x,z'
loop_
_atom_site_label
_atom_site_fract_x
_atom_site_fract_y
_atom_site_fract_z
Li1 0.000 0.000 0.095
Li2 0.071 0.571 0.436
Li3 0.250 0.250 0.204
Li4 0.250 0.250 0.336
Mg1 0.250 0.750 0.270
Zn1 0.250 0.750 0.000
# energy = -1.74 eV per atom
# DFT formation energy = 0.09 eV per atom

# Li7MgZn2, relaxed, DFT PBE
data_Li7MgZn2
_chemical_formula_sum 'Li14 Mg2 Zn4'
_symmetry_space_group_name_H-M 'C m m m'
_symmetry_Int_Tables_number 65
_symmetry_space_group_name_Hall '-C 2 2'
_cell_length_a 7.382
_cell_length_b 12.721
_cell_length_c 4.990
_cell_angle_alpha 90.00
_cell_angle_beta 90.00
_cell_angle_gamma 90.00
loop_
_atom_site_label
_atom_site_fract_x
_atom_site_fract_y
_atom_site_fract_z
Li1 0.000 0.000 0.000
Li2 0.000 0.246 0.500
Li3 0.181 0.381 0.000
Mg1 0.000 0.500 0.500
Zn1 0.000 0.206 0.000
# energy = -1.59 eV per atom
# ΔE to the lowest computed polymorph = 173 meV per atom
# DFT formation energy = 0.16 eV per atom

# Li3Mg3Zn, relaxed, DFT PBE
data_Li3Mg3Zn
_chemical_formula_sum 'Li6 Mg6 Zn2'
_symmetry_space_group_name_H-M 'P 63/m'
_symmetry_Int_Tables_number 176
_symmetry_space_group_name_Hall '-P 6c'
_cell_length_a 8.0065
_cell_length_b 8.0065
_cell_length_c 4.8772
_cell_angle_alpha 90.00
_cell_angle_beta 90.00
_cell_angle_gamma 120.00
loop_
_atom_site_label
_atom_site_fract_x
_atom_site_fract_y
_atom_site_fract_z
Li1 0.0610 0.8164 0.2500
Mg1 0.0933 0.6225 0.7500
Zn1 0.3333 0.6667 0.2500
# energy = -1.73 eV per atom
# ΔE to the lowest computed polymorph = 9 meV per atom
# DFT formation energy = -0.05 eV per atom

# Li3Mg3Zn5, relaxed, DFT PBE
data_Li3Mg3Zn5
_chemical_formula_sum 'Li6 Mg6 Zn10'
_symmetry_space_group_name_H-M 'C 1 m 1'
_symmetry_Int_Tables_number 8
_symmetry_space_group_name_Hall 'C -2y'
_cell_length_a 7.308
_cell_length_b 11.125
_cell_length_c 5.158
_cell_angle_alpha 90.00
_cell_angle_beta 110.17
_cell_angle_gamma 90.00
loop_
_atom_site_label
_atom_site_fract_x
_atom_site_fract_y
_atom_site_fract_z
Li1 0.000 0.000 0.000
Li2 0.079 0.121 0.536
Mg1 0.047 0.500 0.033
Mg2 0.279 0.225 0.150
Zn1 0.202 0.383 0.565
Zn2 0.361 0.000 0.445
Zn3 0.433 0.210 0.735
# energy = -1.63 eV per atom
# DFT formation energy = -0.09 eV per atom

- energy of number 3 (Li3Mg3Zn)?
  -1.73 eV per atom

- Look up the energy of the second one.
  -1.59 eV per atom